(P)
BaNiOs2 | GGA-PBE | optimized geometry

```
data_BaNiOs2
_symmetry_space_group_name_H-M 'P 1 m 1'
_symmetry_Int_Tables_number 6
_cell_length_a 2.910
_cell_length_b 4.094
_cell_length_c 6.950
_cell_angle_alpha 90.00
_cell_angle_beta 101.99
_cell_angle_gamma 90.00
loop_
_symmetry_equiv_pos_as_xyz
'x,y,z'
'x,-y,z'
loop_
_atom_site_label
_atom_site_type_symbol
_atom_site_fract_x
_atom_site_fract_y
_atom_site_fract_z
Ba1 Ba 0.000 0.000 0.000
Ni1 Ni 0.654 0.500 0.308
Os1 Os 0.310 0.500 0.623
Os2 Os 0.752 0.000 0.505
```



(Q)
BaNiOs2 | GGA-PBE | optimized geometry

```
data_BaNiOs2
_symmetry_space_group_name_H-M 'C 1 2/m 1'
_symmetry_Int_Tables_number 12
_cell_length_a 10.350
_cell_length_b 2.903
_cell_length_c 5.751
_cell_angle_alpha 90.00
_cell_angle_beta 107.69
_cell_angle_gamma 90.00
loop_
_symmetry_equiv_pos_as_xyz
'x,y,z'
'-x,-y,-z'
'-x,y,-z'
'x,-y,z'
'x+1/2,y+1/2,z'
'-x+1/2,-y+1/2,-z'
'-x+1/2,y+1/2,-z'
'x+1/2,-y+1/2,z'
loop_
_atom_site_label
_atom_site_type_symbol
_atom_site_fract_x
_atom_site_fract_y
_atom_site_fract_z
Ba1 Ba 0.000 0.000 0.000
Ni1 Ni 0.000 0.500 0.500
Os1 Os 0.208 0.000 0.637
```



(P) has the most favorable energy; the next structure is 189 meV/atom above.



(P)
BaNiOs2 | GGA-PBE | optimized geometry

```
data_BaNiOs2
_symmetry_space_group_name_H-M 'R -3 m'
_symmetry_Int_Tables_number 166
_symmetry_space_group_name_Hall '-R 3 2"'
_cell_length_a 2.8923
_cell_length_b 2.8923
_cell_length_c 29.6456
_cell_angle_alpha 90.00
_cell_angle_beta 90.00
_cell_angle_gamma 120.00
loop_
_atom_site_label
_atom_site_type_symbol
_atom_site_fract_x
_atom_site_fract_y
_atom_site_fract_z
Ba1 Ba 0.0000 0.0000 0.0000
Ni1 Ni 0.0000 0.0000 0.5000
Os1 Os 0.0000 0.0000 0.2320
```



(Q)
BaNiOs2 | GGA-PBE | optimized geometry

```
data_BaNiOs2
_symmetry_space_group_name_H-M 'C m m m'
_symmetry_Int_Tables_number 65
_symmetry_space_group_name_Hall '-C 2 2'
_cell_length_a 5.200
_cell_length_b 10.223
_cell_length_c 2.858
_cell_angle_alpha 90.00
_cell_angle_beta 90.00
_cell_angle_gamma 90.00
loop_
_atom_site_label
_atom_site_type_symbol
_atom_site_fract_x
_atom_site_fract_y
_atom_site_fract_z
Ba1 Ba 0.000 0.000 0.000
Ni1 Ni 0.000 0.500 0.000
Os1 Os 0.250 0.250 0.500
```



(R)
BaNiOs2 | GGA-PBE | optimized geometry

```
data_BaNiOs2
_symmetry_space_group_name_H-M 'I -4 2 d'
_symmetry_Int_Tables_number 122
_symmetry_space_group_name_Hall 'I -4 2bw'
_cell_length_a 4.843
_cell_length_b 4.843
_cell_length_c 16.966
_cell_angle_alpha 90.00
_cell_angle_beta 90.00
_cell_angle_gamma 90.00
loop_
_atom_site_label
_atom_site_type_symbol
_atom_site_fract_x
_atom_site_fract_y
_atom_site_fract_z
Ba1 Ba 0.000 0.000 0.000
Ni1 Ni 0.000 0.000 0.500
Os1 Os 0.021 0.750 0.625
```



(R) has the most favorable energy; the next structure is 305 meV/atom above.